1.
# CaLa2DyBi4 (PBE, optimized geometry)
data_CaLa2DyBi4
_cell_length_a 7.902
_cell_length_b 4.653
_cell_length_c 8.107
_cell_angle_alpha 90.00
_cell_angle_beta 109.76
_cell_angle_gamma 90.00
_space_group_name_H-M_alt 'P 1 2/m 1'
_space_group_IT_number 10
_space_group_name_Hall '-P 2y'
loop_
_atom_site_label
_atom_site_type_symbol
_atom_site_fract_x
_atom_site_fract_y
_atom_site_fract_z
Ca1 Ca 0.000 0.000 0.000
La1 La 0.500 0.000 0.500
La2 La 0.500 0.500 0.000
Dy1 Dy 0.000 0.500 0.500
Bi1 Bi 0.239 0.000 0.742
Bi2 Bi 0.242 0.500 0.252
# ΔE_f in eV per atom: -0.886
# Spin magnetization in μB/atom: 0.00

=====

2.
# KLiNp2Br8 (PBE, optimized geometry)
data_KLiNp2Br8
_cell_length_a 6.933
_cell_length_b 7.207
_cell_length_c 8.895
_cell_angle_alpha 90.54
_cell_angle_beta 90.77
_cell_angle_gamma 96.21
_space_group_name_H-M_alt 'P -1'
_space_group_IT_number 2
_space_group_name_Hall '-P 1'
loop_
_atom_site_label
_atom_site_type_symbol
_atom_site_fract_x
_atom_site_fract_y
_atom_site_fract_z
K1 K 0.000 0.000 0.000
Li1 Li 0.000 0.000 0.500
Np1 Np 0.499 0.499 0.258
Br1 Br 0.234 0.171 0.288
Br2 Br 0.238 0.168 0.721
Br3 Br 0.280 0.651 0.499
Br4 Br 0.290 0.641 0.999
# ΔE_f (raw) in meV per atom: -1400
# Spin magnetization in μB/atom: 0.67

=====

3.
# K3Sb2 (PBE, optimized geometry)
data_K3Sb2
_cell_length_a 5.638
_cell_length_b 7.378
_cell_length_c 9.833
_cell_angle_alpha 90.00
_cell_angle_beta 90.00
_cell_angle_gamma 90.00
_space_group_name_H-M_alt 'I m m m'
_space_group_IT_number 71
_space_group_name_Hall '-I 2 2'
loop_
_atom_site_label
_atom_site_type_symbol
_atom_site_fract_x
_atom_site_fract_y
_atom_site_fract_z
K1 K 0.000 0.000 0.000
K2 K 0.000 0.500 0.200
Sb1 Sb 0.000 0.191 0.500
# ΔE_f (raw) in meV per atom: -391
# Energy relative to the lowest polymorph listed for this composition in meV/atom: 0
# Spin magnetization in μB/atom: 0.00

=====

4.
# Pr2BeCdPt6 (PBE, optimized geometry)
data_Pr2BeCdPt6
_cell_length_a 9.910
_cell_length_b 5.719
_cell_length_c 7.806
_cell_angle_alpha 90.00
_cell_angle_beta 115.07
_cell_angle_gamma 90.00
_space_group_name_H-M_alt 'C 1 2/m 1'
_space_group_IT_number 12
_space_group_name_Hall '-C 2y'
loop_
_atom_site_label
_atom_site_type_symbol
_atom_site_fract_x
_atom_site_fract_y
_atom_site_fract_z
Pr1 Pr 0.218 0.000 0.154
Be1 Be 0.000 0.000 0.500
Cd1 Cd 0.000 0.500 0.000
Pt1 Pt 0.022 0.258 0.309
Pt2 Pt 0.236 0.000 0.690
# ΔE_f in eV per atom: -0.689
# Spin magnetization in μB/atom: 0.00

=====

5.
# Sm6Dy3In (PBE, optimized geometry)
data_Sm6Dy3In
_cell_length_a 10.626
_cell_length_b 11.915
_cell_length_c 5.225
_cell_angle_alpha 90.00
_cell_angle_beta 90.00
_cell_angle_gamma 90.00
_space_group_name_H-M_alt 'P n n m'
_space_group_IT_number 58
_space_group_name_Hall '-P 2 2n'
loop_
_atom_site_label
_atom_site_type_symbol
_atom_site_fract_x
_atom_site_fract_y
_atom_site_fract_z
Sm1 Sm 0.077 0.249 0.000
Sm2 Sm 0.175 0.075 0.500
Sm3 Sm 0.221 0.382 0.500
Dy1 Dy 0.000 0.500 0.000
Dy2 Dy 0.115 0.705 0.500
In1 In 0.000 0.000 0.000
# ΔE_f in eV per atom: 0.041
# Energy relative to the lowest polymorph listed for this composition in meV/atom: 51
# Spin magnetization in μB/atom: 0.00

=====

6.
# SiTc2Mo (PBE, optimized geometry)
data_SiTc2Mo
_cell_length_a 6.742
_cell_length_b 6.742
_cell_length_c 5.457
_cell_angle_alpha 90.00
_cell_angle_beta 90.00
_cell_angle_gamma 90.00
_space_group_name_H-M_alt 'I -4 2 d'
_space_group_IT_number 122
_space_group_name_Hall 'I -4 2bw'
loop_
_atom_site_label
_atom_site_type_symbol
_atom_site_fract_x
_atom_site_fract_y
_atom_site_fract_z
Si1 Si 0.000 0.000 0.000
Tc1 Tc 0.217 0.250 0.125
Mo1 Mo 0.000 0.000 0.500
# ΔE_f (raw) in meV per atom: 504
# Spin magnetization in μB/atom: 0.00